i.
A relaxed structure of LiRu3W. Source: the Alexandria database, functional PBE-GGA.

Lattice parameters (Å, degrees): 4.0683 4.0683 4.0683 90.00 90.00 90.00
Atoms (fractional coordinates):
1 Ru 0.0000 0.5000 0.0000
2 Ru 0.0000 0.0000 0.5000
3 Ru 0.5000 0.0000 0.0000
4 W 0.5000 0.5000 0.5000
5 Li 0.0000 0.0000 0.0000

Fermi-level density of states = 2.364 states/eV/f.u.
ρ = 12.2 g/cm3



ii.
A relaxed structure of LiRu3W. Source: the Alexandria database, functional PBE-GGA.

Lattice parameters (Å, degrees): 4.7238 4.7238 4.7238 90.00 90.00 90.00
Last column: magnetic moment on the atom in μB.
Atoms (fractional coordinates):
1 Ru 0.0000 0.5000 0.0000  0.92
2 Ru 0.0000 0.0000 0.5000  0.96
3 Ru 0.5000 0.0000 0.0000  0.69
4 W 0.0000 0.0000 0.0000  -0.20
5 Li 0.5000 0.5000 0.5000  -0.01

Fermi-level density of states = 6.186 states/eV/f.u.
ρ = 7.8 g/cm3



Most stable one: i, least stable one: ii.



i.
A relaxed structure of Li3YRu. Source: the Alexandria database, functional PBE-GGA.

Lattice parameters (Å, degrees): 4.6159 4.6159 4.6159 90.00 90.00 90.00
Last column: magnetic moment on the atom in μB.
Atoms (fractional coordinates):
1 Y 0.0000 0.0000 0.0000  -0.09
2 Ru 0.5000 0.5000 0.5000  1.75
3 Li 0.0000 0.5000 0.0000  -0.01
4 Li 0.0000 0.0000 0.5000  -0.01
5 Li 0.5000 0.0000 0.0000  -0.01

Fermi-level density of states = 2.991 states/eV/f.u.
ρ = 3.6 g/cm3



ii.
A relaxed structure of Li3YRu. Source: the Alexandria database, functional PBE-GGA.

Lattice parameters (Å, degrees): 4.5959 4.5959 4.5959 90.00 90.00 90.00
Atoms (fractional coordinates):
1 Y 0.5000 0.5000 0.5000
2 Ru 0.0000 0.0000 0.0000
3 Li 0.0000 0.5000 0.0000
4 Li 0.0000 0.0000 0.5000
5 Li 0.5000 0.0000 0.0000

Fermi-level density of states = 4.344 states/eV/f.u.
ρ = 3.6 g/cm3



Most stable one: ii, least stable one: i.



i.
A relaxed structure of Li2YRu. Source: the Alexandria database, functional PBE-GGA.

Lattice parameters (Å, degrees): 5.0905 3.2613 4.6005 85.40 90.00 90.00
Last column: magnetic moment on the atom in μB.
Atoms (fractional coordinates):
1 Li 0.0000 0.0397 0.0472  0.00
2 Li 0.0000 0.4603 0.4528  0.00
3 Ru 0.5000 0.2500 0.2500  0.28
4 Y 0.5000 0.7500 0.7500  -0.02

Fermi-level density of states = 2.747 states/eV/f.u.
ρ = 4.4 g/cm3



ii.
A relaxed structure of Li2YRu. Source: the Alexandria database, functional PBE-GGA.

Lattice parameters (Å, degrees): 10.2409 10.2409 10.2409 16.48 16.48 16.48
Last column: magnetic moment on the atom in μB.
Atoms (fractional coordinates):
1 Li 0.9865 0.9865 0.9865  0.00
2 Li 0.5135 0.5135 0.5135  0.00
3 Ru 0.2500 0.2500 0.2500  0.30
4 Y 0.7500 0.7500 0.7500  0.01

Fermi-level density of states = 5.065 states/eV/f.u.
ρ = 4.5 g/cm3



iii.
A relaxed structure of Li2YRu. Source: the Alexandria database, functional PBE-GGA.

Lattice parameters (Å, degrees): 3.8897 3.8897 10.7908 79.62 79.62 90.00
Atoms (fractional coordinates):
1 Y 0.5000 0.5000 0.0000
2 Y 0.2500 0.7500 0.5000
3 Ru 0.0000 0.0000 0.0000
4 Ru 0.7500 0.2500 0.5000
5 Li 0.0702 0.1250 0.2500
6 Li 0.6798 0.6250 0.2500
7 Li 0.3750 0.9298 0.7500
8 Li 0.8750 0.3202 0.7500

Fermi-level density of states = 3.225 states/eV/f.u.
ρ = 4.3 g/cm3



iv.
A relaxed structure of Li2YRu. Source: the Alexandria database, functional PBE-GGA.

Lattice parameters (Å, degrees): 5.0909 5.0909 3.0632 90.00 90.00 115.42
Last column: magnetic moment on the atom in μB.
Atoms (fractional coordinates):
1 Li 0.0000 0.0000 0.0000  0.00
2 Li 0.5000 0.5000 0.0000  0.00
3 Ru 0.5000 0.0000 0.5000  0.65
4 Y 0.0000 0.5000 0.5000  0.01

Fermi-level density of states = 3.941 states/eV/f.u.
ρ = 4.7 g/cm3



Most stable one: i, least stable one: ii.



i.
A relaxed structure of Li2YRu. Source: the Alexandria database, functional PBE-GGA.

Lattice parameters (Å, degrees): 4.6802 4.6802 4.6775 60.01 60.01 59.73
Atoms (fractional coordinates):
1 Li 0.9989 0.9989 0.0011
2 Li 0.2499 0.2499 0.2500
3 Ru 0.5010 0.5010 0.4992
4 Y 0.7503 0.7503 0.7497

Fermi-level density of states = 2.217 states/eV/f.u.
ρ = 4.7 g/cm3



ii.
A relaxed structure of Li2YRu. Source: the Alexandria database, functional PBE-GGA.

Lattice parameters (Å, degrees): 5.7144 5.7144 4.4447 67.44 67.44 34.29
Atoms (fractional coordinates):
1 Li 0.9724 0.9724 0.0289
2 Li 0.5276 0.5276 0.4711
3 Ru 0.2500 0.2500 0.2500
4 Y 0.7500 0.7500 0.7500

Fermi-level density of states = 2.304 states/eV/f.u.
ρ = 4.5 g/cm3



Most stable one: ii, least stable one: i.



i.
A relaxed structure of Li2YRu. Source: the Alexandria database, functional PBE-GGA.

Lattice parameters (Å, degrees): 3.9379 3.9379 4.8130 90.00 90.00 90.00
Atoms (fractional coordinates):
1 Li 0.0000 0.0000 0.0000
2 Li 0.5000 0.5000 0.0000
3 Ru 0.5000 0.0000 0.5000
4 Y 0.0000 0.5000 0.5000

Fermi-level density of states = 3.518 states/eV/f.u.
ρ = 4.5 g/cm3



ii.
A relaxed structure of Li2YRu. Source: the Alexandria database, functional PBE-GGA.

Lattice parameters (Å, degrees): 4.5437 4.5437 4.5437 60.00 60.00 60.00
Atoms (fractional coordinates):
1 Y 0.0000 0.0000 0.0000
2 Ru 0.5000 0.5000 0.5000
3 Li 0.2500 0.2500 0.2500
4 Li 0.7500 0.7500 0.7500

Fermi-level density of states = 2.540 states/eV/f.u.
ρ = 5.1 g/cm3



Most stable one: i, least stable one: ii.



i.
A relaxed structure of Li2YRu. Source: the Alexandria database, functional PBE-GGA.

Lattice parameters (Å, degrees): 2.8428 2.8428 10.1329 90.00 90.00 114.25
Atoms (fractional coordinates):
1 Li 0.0000 0.0000 0.0413
2 Li 0.0000 0.0000 0.4587
3 Ru 0.5000 0.5000 0.2500
4 Y 0.5000 0.5000 0.7500

Fermi-level density of states = 3.945 states/eV/f.u.
ρ = 4.5 g/cm3



ii.
A relaxed structure of Li2YRu. Source: the Alexandria database, functional PBE-GGA.

Lattice parameters (Å, degrees): 2.8757 4.4533 5.5455 90.00 90.00 90.00
Atoms (fractional coordinates):
1 Li 0.0000 0.0000 0.0488
2 Li 0.0000 0.0000 0.4512
3 Ru 0.5000 0.5000 0.2500
4 Y 0.5000 0.5000 0.7500

Fermi-level density of states = 3.216 states/eV/f.u.
ρ = 4.8 g/cm3



iii.
A relaxed structure of Li2YRu. Source: the Alexandria database, functional PBE-GGA.

Lattice parameters (Å, degrees): 3.3814 3.3814 6.9089 90.00 90.00 90.04
Atoms (fractional coordinates):
1 Li 0.0000 0.0000 0.0684
2 Li 0.5000 0.5000 0.2739
3 Ru 0.0000 0.0000 0.4705
4 Y 0.5000 0.5000 0.6873

Fermi-level density of states = 2.225 states/eV/f.u.
ρ = 4.3 g/cm3



Most stable one: iii, least stable one: i.



i.
A relaxed structure of Li2Zn7Ru2. Source: the Alexandria database, functional PBE-GGA.

Lattice parameters (Å, degrees): 6.9247 3.7914 6.9247 105.88 107.17 74.12
Atoms (fractional coordinates):
1 Li 0.8244 0.6763 0.1756
2 Li 0.1756 0.3237 0.8244
3 Zn 0.0780 0.1674 0.4129
4 Zn 0.4129 0.8326 0.0780
5 Zn 0.9220 0.8326 0.5871
6 Zn 0.5871 0.1674 0.9220
7 Zn 0.0000 0.0000 0.0000
8 Zn 0.6248 0.3768 0.3752
9 Zn 0.3752 0.6232 0.6248
10 Ru 0.7712 0.5000 0.7712
11 Ru 0.2288 0.5000 0.2288

Fermi-level density of states = 4.847 states/eV/f.u.
ρ = 6.9 g/cm3



ii.
A relaxed structure of Li2Zn7Ru2. Source: the Alexandria database, functional PBE-GGA.

Lattice parameters (Å, degrees): 6.6878 5.1753 5.1969 68.67 82.97 91.43
Atoms (fractional coordinates):
1 Li 0.2844 0.8600 0.3941
2 Li 0.7156 0.1400 0.6059
3 Zn 0.0205 0.4429 0.2549
4 Zn 0.3633 0.8626 0.8930
5 Zn 0.9795 0.5571 0.7451
6 Zn 0.6367 0.1374 0.1070
7 Zn 0.0000 0.0000 0.0000
8 Zn 0.6330 0.6464 0.5875
9 Zn 0.3670 0.3536 0.4125
10 Ru 0.3115 0.3516 0.9158
11 Ru 0.6885 0.6484 0.0842

Fermi-level density of states = 4.992 states/eV/f.u.
ρ = 6.7 g/cm3



Most stable one: ii, least stable one: i.



i.
A relaxed structure of LiZn4Ru. Source: the Alexandria database, functional PBE-GGA.

Lattice parameters (Å, degrees): 4.7399 4.5917 4.6970 62.00 80.28 101.75
Atoms (fractional coordinates):
1 Li 0.0015 0.9971 0.4984
2 Zn 0.4959 0.8258 0.3377
3 Zn 0.5067 0.1693 0.6585
4 Zn 0.9965 0.3311 0.8407
5 Zn 0.0060 0.6630 0.1554
6 Ru 0.5012 0.4974 0.9981

Fermi-level density of states = 2.813 states/eV/f.u.
ρ = 7.3 g/cm3



ii.
A relaxed structure of LiZn4Ru. Source: the Alexandria database, functional PBE-GGA.

Lattice parameters (Å, degrees): 4.0623 5.4525 4.1066 90.00 90.00 111.87
Atoms (fractional coordinates):
1 Li 0.0000 0.0000 0.0000
2 Zn 0.3436 0.6872 0.0000
3 Zn 0.6564 0.3128 0.0000
4 Zn 0.8341 0.6683 0.5000
5 Zn 0.1659 0.3317 0.5000
6 Ru 0.5000 0.0000 0.5000

Fermi-level density of states = 2.365 states/eV/f.u.
ρ = 7.3 g/cm3



Most stable one: ii, least stable one: i.



i.
A relaxed structure of LiZn3Ru. Source: the Alexandria database, functional PBE-GGA.

Lattice parameters (Å, degrees): 4.8020 4.8020 4.8020 90.00 90.00 90.00
Atoms (fractional coordinates):
1 Ru 0.0000 0.0000 0.0000
2 Zn 0.0000 0.5000 0.0000
3 Zn 0.0000 0.0000 0.5000
4 Zn 0.5000 0.0000 0.0000
5 Li 0.5000 0.5000 0.5000

Fermi-level density of states = 1.641 states/eV/f.u.
ρ = 4.6 g/cm3



ii.
A relaxed structure of LiZn3Ru. Source: the Alexandria database, functional PBE-GGA.

Lattice parameters (Å, degrees): 6.5961 8.4562 6.5961 63.57 74.47 63.57
Atoms (fractional coordinates):
1 Li 0.5556 0.2983 0.1697
2 Li 0.8303 0.2017 0.4444
3 Li 0.4444 0.7017 0.8303
4 Li 0.1697 0.7983 0.5556
5 Zn 0.2354 0.4603 0.8983
6 Zn 0.1017 0.0397 0.7647
7 Zn 0.7647 0.5397 0.1017
8 Zn 0.8983 0.9603 0.2354
9 Zn 0.6615 0.0779 0.9123
10 Zn 0.0877 0.4221 0.3385
11 Zn 0.3385 0.9221 0.0877
12 Zn 0.9123 0.5779 0.6615
13 Zn 0.3704 0.5680 0.3310
14 Zn 0.6690 0.9320 0.6296
15 Zn 0.6296 0.4320 0.6690
16 Zn 0.3310 0.0680 0.3704
17 Ru 0.9969 0.7500 0.0031
18 Ru 0.0031 0.2500 0.9969
19 Ru 0.6642 0.7500 0.3358
20 Ru 0.3358 0.2500 0.6642

Fermi-level density of states = 2.024 states/eV/f.u.
ρ = 6.9 g/cm3



Most stable one: ii, least stable one: i.



i.
A relaxed structure of LiZnRu3. Source: the Alexandria database, functional PBE-GGA.

Lattice parameters (Å, degrees): 4.1152 4.1152 4.1152 90.00 90.00 90.00
Last column: magnetic moment on the atom in μB.
Atoms (fractional coordinates):
1 Ru 0.0000 0.5000 0.0000  0.71
2 Ru 0.0000 0.0000 0.5000  0.60
3 Ru 0.5000 0.0000 0.0000  0.56
4 Zn 0.5000 0.5000 0.5000  -0.02
5 Li 0.0000 0.0000 0.0000  -0.02

Fermi-level density of states = 4.859 states/eV/f.u.
ρ = 8.9 g/cm3



ii.
A relaxed structure of LiZnRu3. Source: the Alexandria database, functional PBE-GGA.

Lattice parameters (Å, degrees): 4.6144 4.6144 4.6144 90.00 90.00 90.00
Last column: magnetic moment on the atom in μB.
Atoms (fractional coordinates):
1 Ru 0.0000 0.5000 0.0000  1.86
2 Ru 0.0000 0.0000 0.5000  2.11
3 Ru 0.5000 0.0000 0.0000  1.41
4 Zn 0.0000 0.0000 0.0000  0.02
5 Li 0.5000 0.5000 0.5000  -0.03

Fermi-level density of states = 5.992 states/eV/f.u.
ρ = 6.3 g/cm3



Most stable one: i, least stable one: ii.



i.
A relaxed structure of Li2ZrRu. Source: the Alexandria database, functional PBE-GGA.

Lattice parameters (Å, degrees): 10.2157 10.2157 10.2157 15.65 15.65 15.65
Last column: magnetic moment on the atom in μB.
Atoms (fractional coordinates):
1 Li 0.9890 0.9890 0.9890  0.00
2 Li 0.5110 0.5110 0.5110  0.00
3 Ru 0.2500 0.2500 0.2500  0.25
4 Zr 0.7500 0.7500 0.7500  0.00

Fermi-level density of states = 3.024 states/eV/f.u.
ρ = 5.1 g/cm3



ii.
A relaxed structure of Li2ZrRu. Source: the Alexandria database, functional PBE-GGA.

Lattice parameters (Å, degrees): 4.3556 4.3556 4.3556 60.00 60.00 60.00
Atoms (fractional coordinates):
1 Ru 0.5000 0.5000 0.5000
2 Zr 0.0000 0.0000 0.0000
3 Li 0.2500 0.2500 0.2500
4 Li 0.7500 0.7500 0.7500

Fermi-level density of states = 2.230 states/eV/f.u.
ρ = 5.9 g/cm3



Most stable one: ii, least stable one: i.